{
  "formula": "Tb2Pr3NdSm6",
  "functional": "PBE-GGA",
  "state": "relaxed",
  "m_tot_mub_per_fu": 0.000,
  "e_tot_ha_per_atom": -0.1730,
  "e_form_mev_per_atom": 15.0,
  "spacegroup": "C2/m, No. 12",
  "cell": [[-6.1360, -1.2460, -0.8051], [3.1680, -2.6839, 4.7551], [-1.7964, 10.4960, 5.7203]],
  "species": ["Sm", "Sm", "Sm", "Sm", "Sm", "Sm", "Nd", "Pr", "Pr", "Pr", "Tb", "Tb"],
  "fractional_positions": [[0.9174, 0.5834, 0.7530], [0.5834, 0.9174, 0.7530], [0.7485, 0.7485, 0.2470], [0.4166, 0.0826, 0.2470], [0.2515, 0.2515, 0.7530], [0.0826, 0.4166, 0.2470], [0.0000, 0.0000, 0.0000], [0.1669, 0.8331, 0.5000], [0.8331, 0.1669, 0.5000], [0.5000, 0.5000, 0.5000], [0.6666, 0.3334, 0.0000], [0.3334, 0.6666, 0.0000]]
}